First-principles (PBE-GGA) data for crystalline NaMnGaCl4 at its relaxed geometry, as listed in Alexandria.

```
NaMnGaCl4
1.0
-0.204 -0.140 7.013
5.080 -5.230 0.044
5.651 5.473 -1.910
Cl Na Ga Mn
8 2 2 2
direct
0.528 0.250 0.398 Cl
0.476 0.750 0.144 Cl
0.962 0.498 0.723 Cl
0.472 0.750 0.602 Cl
0.038 0.998 0.277 Cl
0.962 0.002 0.723 Cl
0.524 0.250 0.856 Cl
0.038 0.502 0.277 Cl
0.797 0.750 0.439 Na
0.203 0.250 0.561 Na
0.242 0.250 0.088 Ga
0.758 0.750 0.912 Ga
0.265 0.750 0.320 Mn
0.735 0.250 0.680 Mn
```

Output
- energy (eV per atom) = -4.140
- uncorrected formation energy (eV per atom) = -1.15